First-principles (GGA+U) data for an optimized crystal structure of MnPBrO2, as listed in Alexandria.

**Raw total energy**: -4.351 eV per atom

Unit cell a=3.8433 b=3.8433 c=5.3112 alpha=90.00 beta=90.00 gamma=90.00
Atoms (fractional coordinates):
Mn (0.0000, 0.0000, 0.0000)
P (0.5000, 0.5000, 0.0000)
Br (0.5000, 0.5000, 0.5000)
O (0.0000, 0.5000, 0.5000)
O (0.5000, 0.0000, 0.5000)